[1]
Computed, not measured: a relaxed structure of SbC at the PBE-GGA level of DFT.

```
2
Lattice="3.2179 0.0000 0.0000 0.0000 3.2179 0.0000 0.0000 0.0000 3.3331" Properties=species:S:1:pos:R:3 pbc="T T T"
Sb 1.6090 1.6090 0.0000
C 0.0000 0.0000 0.0000
```

space-group type	P4/mmm

[2]
Computed, not measured: a relaxed structure of Sb3C at the PBE-GGA level of DFT.

```
4
Lattice="4.8562 -0.1642 0.0000 -0.8995 4.7750 0.0000 0.0000 0.0000 3.9323" Properties=species:S:1:pos:R:3 pbc="T T T"
Sb -0.4498 2.3875 1.9662
Sb 2.4281 -0.0821 1.9662
Sb 1.9783 2.3054 0.0000
C 0.0000 0.0000 0.0000
```

space-group type	Cmmm

[3]
Computed, not measured: a relaxed structure of SbC2 at the PBE-GGA level of DFT.

```
6
Lattice="-1.4352 -0.8059 3.9617 -2.3206 -3.2782 -1.5075 3.4944 -2.7944 0.6975" Properties=species:S:1:pos:R:3 pbc="T T T"
Sb 2.1823 -2.7219 2.5597
Sb -0.5658 -2.1145 -0.6351
C 0.0000 0.0000 0.0000
C -1.8779 -2.0420 1.2271
C 0.4928 -1.3708 2.2225
C 1.1237 -3.4656 -0.2979
```

space-group type	P4/nmm

[4]
Computed, not measured: a relaxed structure of SbC at the PBE-GGA level of DFT.

```
8
Lattice="6.1668 0.0000 0.0630 0.0000 3.4589 0.0000 -0.8234 0.0000 7.6177" Properties=species:S:1:pos:R:3 pbc="T T T"
Sb 0.7320 0.0000 6.2851
Sb 4.6113 0.0000 1.3956
Sb 1.1438 1.7295 2.4762
Sb 4.1996 1.7295 5.2044
C 5.5098 0.0000 4.5529
C -0.1664 0.0000 3.1278
C 5.9215 1.7295 0.7440
C -0.5782 1.7295 6.9366
```

space-group type	C2/m

[5]
Computed, not measured: a relaxed structure of Sb3C at the PBE-GGA level of DFT.

```
16
Lattice="4.6653 0.0000 0.0000 0.0000 6.8604 0.0000 0.0000 0.0000 12.2752" Properties=species:S:1:pos:R:3 pbc="T T T"
Sb 1.1677 0.2691 9.2064
Sb 3.5003 3.1611 3.0688
Sb 1.1649 3.6993 9.2064
Sb 3.4976 6.5913 3.0688
Sb 3.0010 1.9940 10.9727
Sb 0.6684 1.4362 1.3024
Sb 3.9969 5.4242 7.4400
Sb 1.6642 4.8664 4.8352
Sb 1.6642 4.8664 1.3024
Sb 3.9969 5.4242 10.9727
Sb 0.6684 1.4362 4.8352
Sb 3.0010 1.9940 7.4400
C 2.7067 5.4084 9.2064
C 0.3741 4.8823 3.0688
C 4.2912 1.9782 9.2064
C 1.9586 1.4520 3.0688
```

space-group type	Pnma

[6]
Computed, not measured: a relaxed structure of Sb2C at the PBE-GGA level of DFT.

```
6
Lattice="1.8067 -3.1293 0.0000 1.8067 3.1293 0.0000 0.0000 0.0000 12.0030" Properties=species:S:1:pos:R:3 pbc="T T T"
Sb 0.0000 0.0000 0.0000
Sb 0.0000 0.0000 6.0015
Sb 1.8067 -1.0431 9.0022
Sb 1.8067 1.0431 3.0007
C 1.8067 -1.0431 3.0007
C 1.8067 1.0431 9.0022
```

space-group type	P6_3/mmc

[7]
Computed, not measured: a relaxed structure of SbC2 at the PBE-GGA level of DFT.

```
3
Lattice="3.3250 0.0000 0.0000 -1.6625 2.8795 0.0000 0.0000 0.0000 3.8104" Properties=species:S:1:pos:R:3 pbc="T T T"
Sb 0.0000 0.0000 0.0000
C 1.6625 0.9598 2.5301
C 0.0000 1.9197 1.2804
```

space-group type	P-3m1

[8]
Computed, not measured: a relaxed structure of SbC at the PBE-GGA level of DFT.

```
4
Lattice="4.6025 0.0000 0.0000 2.3012 3.9859 0.0000 2.3012 1.3286 3.7579" Properties=species:S:1:pos:R:3 pbc="T T T"
Sb 4.6025 2.6572 1.8790
Sb 6.9037 3.9859 2.8184
C 0.0000 0.0000 0.0000
C 2.3012 1.3286 0.9395
```

space-group type	Fd-3m

[9]
Computed, not measured: a relaxed structure of Sb3C at the PBE-GGA level of DFT.

```
16
Lattice="8.0245 0.0000 0.0000 -4.0122 6.9494 0.0000 0.0000 0.0000 6.6645" Properties=species:S:1:pos:R:3 pbc="T T T"
Sb -2.0061 3.4747 0.0000
Sb -2.0061 3.4747 3.3323
Sb 2.0061 3.4747 0.0000
Sb 4.0122 0.0000 0.0000
Sb 4.0122 0.0000 3.3323
Sb 2.0061 3.4747 3.3323
Sb 2.4173 6.0286 1.6661
Sb 1.5949 0.9208 4.9984
Sb -2.4173 6.0286 1.6661
Sb 0.0000 1.8416 1.6661
Sb 4.0122 5.1078 4.9984
Sb 6.4296 0.9208 4.9984
C 0.0000 0.0000 0.0000
C 0.0000 0.0000 3.3323
C 4.0122 2.3165 1.6661
C 0.0000 4.6329 4.9984
```

space-group type	P6_3/mmc

[10]
Computed, not measured: a relaxed structure of SbC at the PBE-GGA level of DFT.

```
12
Lattice="3.5272 0.0000 0.0000 0.0000 4.8040 0.0000 0.0000 0.0000 11.9936" Properties=species:S:1:pos:R:3 pbc="T T T"
Sb 0.0000 3.5598 9.8241
Sb 1.7636 1.2442 8.1663
Sb 1.7636 1.2442 3.8273
Sb 0.0000 3.5598 2.1695
Sb 0.0000 3.6379 5.9968
Sb 1.7636 1.1661 0.0000
C 0.0000 4.7911 7.7900
C 1.7636 0.0129 10.2004
C 1.7636 0.0129 1.7932
C 0.0000 4.7911 4.2036
C 0.0000 2.4681 0.0000
C 1.7636 2.3358 5.9968
```

space-group type	Pmmn

[11]
Computed, not measured: a relaxed structure of SbC3 at the PBE-GGA level of DFT.

```
4
Lattice="-0.6894 2.1440 -3.5452 -2.5395 -3.2772 0.6721 -0.8249 1.9140 3.6464" Properties=species:S:1:pos:R:3 pbc="T T T"
Sb -2.4894 -0.9649 1.4410
C -1.2808 -0.4495 -1.1397
C -1.5643 1.7457 -0.6677
C -0.3336 -0.1171 -0.2969
```

space-group type	Immm

[12]
Computed, not measured: a relaxed structure of Sb3C at the PBE-GGA level of DFT.

```
4
Lattice="4.7879 0.0000 0.0000 0.0000 4.7879 0.0000 0.0000 0.0000 4.7879" Properties=species:S:1:pos:R:3 pbc="T T T"
Sb 2.3939 0.0000 0.0000
Sb 0.0000 2.3939 0.0000
Sb 0.0000 0.0000 2.3939
C 0.0000 0.0000 0.0000
```

space-group type	Pm-3m

[13]
Computed, not measured: a relaxed structure of Sb2C at the PBE-GGA level of DFT.

```
9
Lattice="0.4340 2.2025 -2.4925 -2.8578 -0.0035 1.7565 8.7361 14.3961 14.2421" Properties=species:S:1:pos:R:3 pbc="T T T"
Sb 7.7439 12.7609 12.6245
Sb 0.9923 1.6351 1.6176
Sb 4.6974 11.3738 10.8683
Sb 1.6149 5.2213 2.6378
Sb 3.1990 8.9045 8.4254
Sb 3.1133 7.6906 5.0806
C 4.3681 7.1980 7.1210
C 5.5626 12.7994 12.2787
C 0.7498 3.7957 1.2274
```

space-group type	P-3m1

[14]
Computed, not measured: a relaxed structure of Sb2C at the PBE-GGA level of DFT.

```
3
Lattice="3.3036 0.0000 0.0000 -1.6518 2.8610 0.0000 0.0000 0.0000 6.5800" Properties=species:S:1:pos:R:3 pbc="T T T"
Sb 0.0000 0.0000 1.7518
Sb 0.0000 0.0000 4.8283
C 0.0000 1.9073 3.2900
```

space-group type	P-6m2

[15]
Computed, not measured: a relaxed structure of SbC2 at the PBE-GGA level of DFT.

```
6
Lattice="-0.0575 -1.8640 -2.8061 1.9509 -3.1424 2.0474 -4.7178 -2.0002 1.4254" Properties=species:S:1:pos:R:3 pbc="T T T"
Sb 0.0000 0.0000 0.0000
Sb -1.4122 -3.5033 0.3334
C -2.4720 -1.5682 1.0924
C -0.2949 -3.5744 2.3805
C -3.1468 -4.7589 1.2030
C 0.3223 -2.2478 -0.5362
```

space-group type	Pnnm

[16]
Computed, not measured: a relaxed structure of Sb3C at the PBE-GGA level of DFT.

```
4
Lattice="3.1766 0.0000 0.0000 0.0000 3.1766 0.0000 0.0000 0.0000 8.6872" Properties=species:S:1:pos:R:3 pbc="T T T"
Sb 1.5883 1.5883 1.4388
Sb 0.0000 0.0000 4.3436
Sb 1.5883 1.5883 7.2484
C 0.0000 0.0000 0.0000
```

space-group type	P4/mmm

[17]
Computed, not measured: a relaxed structure of SbC at the PBE-GGA level of DFT.

```
4
Lattice="3.5124 0.0000 0.0000 0.0000 4.8375 0.0000 0.0000 0.0000 3.5657" Properties=species:S:1:pos:R:3 pbc="T T T"
Sb 1.7562 0.0000 2.2757
Sb 0.0000 2.4188 0.6958
C 0.0000 0.0000 0.8008
C 1.7562 2.4188 2.1706
```

space-group type	Pmmn

[18]
Computed, not measured: a relaxed structure of Sb5C4 at the PBE-GGA level of DFT.

```
9
Lattice="-3.9424 3.9424 3.1822 3.9424 -3.9424 3.1822 3.9424 3.9424 -3.1822" Properties=species:S:1:pos:R:3 pbc="T T T"
Sb 0.0000 0.0000 0.0000
Sb 1.9227 -1.9227 3.1822
Sb -1.9227 1.9227 3.1822
Sb 2.0197 2.0197 0.0000
Sb 1.9227 1.9227 3.1822
C 4.5850 0.0000 0.0000
C 3.2998 0.0000 0.0000
C 0.0000 3.2998 0.0000
C 0.0000 4.5850 0.0000
```

space-group type	I4/mmm

[19]
Computed, not measured: a relaxed structure of Sb2C at the PBE-GGA level of DFT.

```
12
Lattice="-1.8644 -0.9896 -2.5207 -5.8298 -1.4476 4.8803 -3.7917 10.6409 -1.3730" Properties=species:S:1:pos:R:3 pbc="T T T"
Sb -9.4261 7.5549 2.9339
Sb -5.8524 2.3878 0.1751
Sb -5.6336 5.8159 0.8115
Sb -2.0599 0.6488 -1.9473
Sb -3.0208 4.1731 -0.4760
Sb -6.9640 8.7218 -1.4894
Sb -4.5220 -0.5181 2.4760
Sb -8.4652 4.0306 1.4627
C -6.2129 4.0143 1.9474
C -10.0166 8.5977 0.8172
C -1.4693 -0.3940 0.1694
C -5.2730 4.1894 -0.9607
```

space-group type	Pnma

[20]
Computed, not measured: a relaxed structure of Sb2C at the PBE-GGA level of DFT.

```
6
Lattice="-0.4148 0.7030 -3.1067 3.6365 -2.6765 -1.0912 -5.4909 -7.1039 -0.8743" Properties=species:S:1:pos:R:3 pbc="T T T"
Sb -2.4923 -5.0880 -0.8185
Sb 0.6379 -4.6924 -1.1470
Sb -2.2969 -7.9062 -3.1428
Sb 0.0277 -1.1713 -1.9293
C 0.0000 0.0000 0.0000
C -1.1346 -4.5387 -2.5361
```

space-group type	Pnnm

[21]
Computed, not measured: a relaxed structure of SbC at the PBE-GGA level of DFT.

```
4
Lattice="-0.2646 -3.5746 1.6260 -0.5462 0.4460 -3.8723 5.1509 -0.7511 -0.8131" Properties=species:S:1:pos:R:3 pbc="T T T"
Sb 1.5910 -1.1922 -2.3621
Sb 4.2603 -2.9080 -0.9359
C 4.5662 -1.6261 -2.8317
C 2.0846 -2.5907 -0.5924
```

space-group type	P6_3mc

[22]
Computed, not measured: a relaxed structure of SbC at the PBE-GGA level of DFT.

```
8
Lattice="-1.7586 -0.4983 2.1418 0.1375 -1.8039 -2.1576 17.8004 -12.6148 11.6811" Properties=species:S:1:pos:R:3 pbc="T T T"
Sb 0.8323 -2.3090 0.1462
Sb 9.1004 -8.1812 7.4199
Sb 15.3470 -12.6080 11.5190
Sb 7.0788 -6.7358 4.2454
C 4.4501 -3.1537 2.9203
C 13.3503 -9.4611 8.7608
C 12.8558 -10.8297 8.0363
C 3.3235 -4.0872 3.6289
```

space-group type	P6_3/mmc

[23]
Computed, not measured: a relaxed structure of SbC3 at the PBE-GGA level of DFT.

```
4
Lattice="3.9700 0.0561 0.0000 0.0597 3.9699 0.0000 -2.0148 -2.0130 2.7662" Properties=species:S:1:pos:R:3 pbc="T T T"
Sb 0.0000 0.0000 0.0000
C 0.0298 1.9850 1.3831
C 2.0148 2.0130 0.0000
C 1.9850 0.0281 1.3831
```

space-group type	I4/mmm

[24]
Computed, not measured: a relaxed structure of SbC at the PBE-GGA level of DFT.

```
6
Lattice="1.7331 6.2733 -0.0698 -1.7331 6.2733 -0.0698 0.0000 2.0118 5.8008" Properties=species:S:1:pos:R:3 pbc="T T T"
Sb 0.0000 8.9279 4.3821
Sb 0.0000 0.8049 1.7697
Sb 0.0000 12.0011 5.3312
C 0.0000 14.3930 5.4546
C 0.0000 6.1941 2.7516
C 0.0000 5.7923 4.0388
```

space-group type	Cm

[25]
Computed, not measured: a relaxed structure of SbC3 at the PBE-GGA level of DFT.

```
4
Lattice="-2.4440 0.5047 -3.9080 2.3264 -2.5817 -3.0697 -2.6314 0.0889 3.8168" Properties=species:S:1:pos:R:3 pbc="T T T"
Sb -2.5377 0.2968 -0.0456
C -0.0150 -0.2651 -0.8907
C -0.1026 -1.8118 -6.0870
C -0.1525 -1.2464 0.3736
```

space-group type	Immm

[26]
Computed, not measured: a relaxed structure of SbC3 at the PBE-GGA level of DFT.

```
4
Lattice="3.5618 0.0000 0.0000 0.0000 3.5618 0.0000 0.0000 0.0000 3.5618" Properties=species:S:1:pos:R:3 pbc="T T T"
Sb 0.0000 0.0000 0.0000
C 0.0000 1.7809 1.7809
C 1.7809 0.0000 1.7809
C 1.7809 1.7809 0.0000
```

space-group type	Pm-3m

[27]
Computed, not measured: a relaxed structure of Sb2C at the PBE-GGA level of DFT.

```
3
Lattice="-3.2137 1.0497 0.1458 -0.2153 -0.1907 -3.3717 -1.5829 -4.8984 0.3781" Properties=species:S:1:pos:R:3 pbc="T T T"
Sb -0.7914 -2.4492 0.1891
Sb -1.7145 0.4295 -1.6129
C 0.0000 0.0000 0.0000
```

space-group type	P4/mmm

no.,magnetic moment (μB/f.u.),ΔE_f (raw) (eV/atom),calculated total energy (eV for the cell shown)
1,0.0,1.80,-9.749
2,0.0,1.54,-15.446
3,0.0,2.72,-28.795
4,0.0,0.91,-46.129
5,0.0,0.78,-73.810
6,0.0,1.48,-26.030
7,0.0,2.44,-15.258
8,0.5,2.74,-15.714
9,0.0,1.16,-67.769
10,0.0,1.23,-65.309
11,0.0,2.58,-21.477
12,0.0,1.25,-16.597
13,0.0,0.86,-44.695
14,0.0,1.18,-13.919
15,0.0,1.14,-38.314
16,0.0,1.15,-17.004
17,0.0,1.47,-20.829
18,0.0,1.04,-48.192
19,0.0,1.05,-57.310
20,0.0,1.19,-27.781
21,0.0,1.41,-21.036
22,0.0,1.11,-44.474
23,0.0,3.30,-18.601
24,0.0,1.02,-33.918
25,0.0,2.36,-22.351
26,0.0,3.43,-18.072
27,0.0,1.21,-13.839